No. 1
{"formula": "Li3Tl2RuF12", "functional": "PBE", "state": "optimized geometry", "raw_formation_energy_ev_per_atom": -1.9885, "e_tot_ev_per_atom": -4.333, "dos_at_fermi_per_ev_cell": 4.5, "lattice": [[3.342, 1.929, 7.217], [-3.342, 1.929, 7.217], [0.000, -3.859, 7.217]], "species": ["Li", "Li", "Li", "Tl", "Tl", "Ru", "F", "F", "F", "F", "F", "F", "F", "F", "F", "F", "F", "F"], "fractional_positions": [[0.000, 0.500, 0.500], [0.500, 0.000, 0.500], [0.500, 0.500, 0.000], [0.077, 0.077, 0.077], [0.923, 0.923, 0.923], [0.500, 0.500, 0.500], [0.147, 0.147, 0.598], [0.147, 0.598, 0.147], [0.183, 0.582, 0.582], [0.402, 0.853, 0.853], [0.418, 0.418, 0.817], [0.418, 0.817, 0.418], [0.582, 0.183, 0.582], [0.582, 0.582, 0.183], [0.598, 0.147, 0.147], [0.817, 0.418, 0.418], [0.853, 0.402, 0.853], [0.853, 0.853, 0.402]]}

---

No. 2
{"formula": "Li2TlRuF8", "functional": "PBE", "state": "optimized geometry", "raw_formation_energy_ev_per_atom": -2.0500, "e_tot_ev_per_atom": -4.587, "dos_at_fermi_per_ev_cell": 7.7, "lattice": [[5.373, 0.000, 0.000], [-2.687, 4.653, 0.000], [0.000, 0.000, 7.817]], "species": ["Li", "Li", "Tl", "Ru", "F", "F", "F", "F", "F", "F", "F", "F"], "fractional_positions": [[0.333, 0.667, 0.212], [0.667, 0.333, 0.788], [0.000, 0.000, 0.000], [0.000, 0.000, 0.500], [0.162, 0.325, 0.352], [0.162, 0.838, 0.352], [0.325, 0.162, 0.648], [0.333, 0.667, 0.985], [0.667, 0.333, 0.015], [0.675, 0.838, 0.352], [0.838, 0.162, 0.648], [0.838, 0.675, 0.648]]}